First-principles (GGA-PBE) data for a geometry-optimized Mn2ZnAs structure, as listed in the Alexandria database.

abc: 2.760 2.760 7.709
angles: 90.00 90.00 90.00
Space group P4mm (No. 99)
Symmetry-distinct sites (fractional):
Mn 0.000 0.000 0.000 x1
Mn 0.500 0.500 0.185 x1
Zn 0.000 0.000 0.403 x1
As 0.500 0.500 0.789 x1

- Energy of formation: 0.253 eV per formula unit
- Magnetic moment: 0.896 μB per formula unit
- Final energy: -6.00 eV/atom



First-principles (GGA-PBE) data for a geometry-optimized MnZnAs structure, as listed in the Alexandria database.

abc: 2.9133 2.9133 6.1793
angles: 90.00 90.00 120.00
Space group P3m1 (No. 156)
Symmetry-distinct sites (fractional):
Mn 0.0000 0.0000 0.0000 x1
Zn 0.6667 0.3333 0.3184 x1
As 0.3333 0.6667 0.7306 x1

- Energy of formation: 0.424 eV per formula unit
- Magnetic moment: 0.694 μB per formula unit
- Final energy: -4.89 eV/atom



First-principles (GGA-PBE) data for a geometry-optimized MnZn2As structure, as listed in the Alexandria database.

abc: 2.809 4.990 4.484
angles: 90.00 94.27 90.00
Space group P2/m (No. 10)
Symmetry-distinct sites (fractional):
Mn 0.000 0.000 0.000 x1
Zn 0.277 0.500 0.240 x2
As 0.500 0.000 0.500 x1

- Energy of formation: 0.458 eV per formula unit
- Magnetic moment: 3.318 μB per formula unit
- Final energy: -3.98 eV/atom



First-principles (GGA-PBE) data for a geometry-optimized MnZn2As structure, as listed in the Alexandria database.

abc: 6.355 6.355 6.355
angles: 90.00 90.00 90.00
Space group F-43m (No. 216)
Symmetry-distinct sites (fractional):
Mn 0.000 0.000 0.000 x4
Zn 0.000 0.000 0.500 x4
Zn 0.250 0.250 0.250 x4
As 0.250 0.250 0.750 x4

- Energy of formation: 0.875 eV per formula unit
- Magnetic moment: 3.516 μB per formula unit
- Final energy: -3.87 eV/atom



First-principles (GGA-PBE) data for a geometry-optimized MnZn2As structure, as listed in the Alexandria database.

abc: 2.9541 2.9541 25.6442
angles: 90.00 90.00 120.00
Space group R-3m (No. 166, hexagonal axes)
Symmetry-distinct sites (fractional):
Mn 0.0000 0.0000 0.0000 x3
Zn 0.0000 0.0000 0.2540 x6
As 0.0000 0.0000 0.5000 x3

- Energy of formation: 0.847 eV per formula unit
- Magnetic moment: 3.396 μB per formula unit
- Final energy: -3.88 eV/atom



First-principles (GGA-PBE) data for a geometry-optimized MnZnAs structure, as listed in the Alexandria database.

abc: 3.087 3.087 8.620
angles: 90.00 90.00 90.00
Space group I4mm (No. 107)
Symmetry-distinct sites (fractional):
Mn 0.000 0.000 0.000 x2
Zn 0.000 0.000 0.320 x2
As 0.000 0.000 0.628 x2

- Energy of formation: 0.178 eV per formula unit
- Magnetic moment: 0.000 μB per formula unit
- Final energy: -4.97 eV/atom



First-principles (GGA-PBE) data for a geometry-optimized MnZn2As structure, as listed in the Alexandria database.

abc: 7.499 7.499 4.968
angles: 90.00 90.00 90.00
Space group I-42d (No. 122)
Symmetry-distinct sites (fractional):
Mn 0.000 0.000 0.000 x4
Zn 0.223 0.250 0.625 x8
As 0.000 0.000 0.500 x4

- Energy of formation: 0.756 eV per formula unit
- Magnetic moment: 3.815 μB per formula unit
- Final energy: -3.90 eV/atom



First-principles (GGA-PBE) data for a geometry-optimized Mn2ZnAs structure, as listed in the Alexandria database.

abc: 3.835 3.835 7.486
angles: 90.00 90.00 90.00
Space group I4/mmm (No. 139)
Symmetry-distinct sites (fractional):
Mn 0.000 0.500 0.250 x4
Zn 0.000 0.000 0.000 x2
As 0.000 0.000 0.500 x2

- Energy of formation: 0.236 eV per formula unit
- Magnetic moment: 5.482 μB per formula unit
- Final energy: -6.01 eV/atom



First-principles (GGA-PBE) data for a geometry-optimized Mn2ZnAs structure, as listed in the Alexandria database.

abc: 2.8405 2.8405 25.3610
angles: 90.00 90.00 120.00
Space group R3m (No. 160, hexagonal axes)
Symmetry-distinct sites (fractional):
Mn 0.0000 0.0000 0.0000 x3
Mn 0.0000 0.0000 0.2595 x3
Zn 0.0000 0.0000 0.7488 x3
As 0.0000 0.0000 0.5161 x3

- Energy of formation: 0.753 eV per formula unit
- Magnetic moment: 0.596 μB per formula unit
- Final energy: -5.88 eV/atom



First-principles (GGA-PBE) data for a geometry-optimized Mn2ZnAs structure, as listed in the Alexandria database.

abc: 5.454 7.276 2.829
angles: 90.00 90.00 90.00
Space group Cmmm (No. 65)
Symmetry-distinct sites (fractional):
Mn 0.250 0.250 0.000 x4
Zn 0.000 0.000 0.500 x2
As 0.000 0.500 0.500 x2

- Energy of formation: 0.338 eV per formula unit
- Magnetic moment: 5.895 μB per formula unit
- Final energy: -5.98 eV/atom



First-principles (GGA-PBE) data for a geometry-optimized Mn2Zn2As structure, as listed in the Alexandria database.

abc: 5.925 5.925 4.064
angles: 90.00 90.00 90.00
Space group P4/mbm (No. 127)
Symmetry-distinct sites (fractional):
Mn 0.139 0.361 0.000 x4
Zn 0.156 0.656 0.500 x4
As 0.000 0.000 0.000 x2

- Energy of formation: 0.295 eV per formula unit
- Magnetic moment: 2.591 μB per formula unit
- Final energy: -5.05 eV/atom



First-principles (GGA-PBE) data for a geometry-optimized Mn2ZnAs structure, as listed in the Alexandria database.

abc: 3.343 3.343 5.229
angles: 90.00 90.00 90.00
Space group P4mm (No. 99)
Symmetry-distinct sites (fractional):
Mn 0.000 0.000 0.000 x1
Mn 0.500 0.500 0.272 x1
Zn 0.000 0.000 0.489 x1
As 0.500 0.500 0.795 x1

- Energy of formation: 0.213 eV per formula unit
- Magnetic moment: 6.092 μB per formula unit
- Final energy: -6.01 eV/atom



Q: Among the records above, which one has the lowest energy of formation?
A: number 6